# 1
The following is a PBE-GGA calculation of a relaxed AlSiH crystal, from Alexandria.

Cell and atoms, written as POSCAR:
```
AlSiH
1.0
1.779 -8.080 0.000
1.779 8.080 0.000
0.000 0.000 2.766
Al Si H
2 2 2
Direct
0.074 0.926 0.750
0.926 0.074 0.250
0.216 0.784 0.250
0.784 0.216 0.750
0.420 0.580 0.250
0.580 0.420 0.750
```

Results
space-group type = Cmcm (63)
calculated density = 2.34 g/cm3
raw total energy = -3.960 eV/atom



# 2
The following is a PBE-GGA calculation of a relaxed AlSiH crystal, from Alexandria.

Cell and atoms, written as POSCAR:
```
AlSiH
1.0
6.524 0.000 0.000
0.000 3.597 0.000
0.000 0.000 6.562
Al Si H
4 4 4
Direct
0.006 0.250 0.236
0.494 0.750 0.736
0.506 0.250 0.264
0.994 0.750 0.764
0.238 0.250 0.545
0.262 0.750 0.045
0.738 0.250 0.955
0.762 0.750 0.455
0.247 0.750 0.553
0.253 0.250 0.053
0.747 0.750 0.947
0.753 0.250 0.447
```

Results
space-group type = Pnma (62)
calculated density = 2.42 g/cm3
raw total energy = -3.821 eV/atom



# 3
The following is a PBE-GGA calculation of a relaxed AlSiH3 crystal, from Alexandria.

Cell and atoms, written as POSCAR:
```
AlSiH3
1.0
3.603 0.000 0.000
0.000 3.603 0.000
0.000 0.000 3.603
Al Si H
1 1 3
Direct
0.000 0.000 0.000
0.500 0.500 0.500
0.000 0.500 0.500
0.500 0.000 0.500
0.500 0.500 0.000
```

Results
space-group type = Pm-3m (221)
calculated density = 2.06 g/cm3
raw total energy = -3.275 eV/atom



# 4
The following is a PBE-GGA calculation of a relaxed AlSiH crystal, from Alexandria.

Cell and atoms, written as POSCAR:
```
AlSiH
1.0
4.137 0.000 0.000
-0.160 4.308 0.000
-1.971 -1.640 5.201
Al Si H
2 2 2
Direct
0.000 0.000 0.000
0.043 0.277 0.643
0.567 0.340 0.266
0.660 0.472 0.913
0.066 0.898 0.694
0.470 0.663 0.390
```

Results
space-group type = P1 (1)
calculated density = 2.01 g/cm3
raw total energy = -4.017 eV/atom



# 5
The following is a PBE-GGA calculation of a relaxed AlSiH crystal, from Alexandria.

Cell and atoms, written as POSCAR:
```
AlSiH
1.0
4.207 0.000 0.000
-1.993 3.728 0.000
-1.701 -1.433 6.518
Al Si H
2 2 2
Direct
0.000 0.000 0.000
0.251 0.252 0.527
0.292 0.619 0.912
0.934 0.636 0.593
0.150 0.091 0.260
0.967 0.437 0.400
```

Results
space-group type = P1 (1)
calculated density = 1.82 g/cm3
raw total energy = -4.022 eV/atom



# 6
The following is a PBE-GGA calculation of a relaxed AlSiH crystal, from Alexandria.

Cell and atoms, written as POSCAR:
```
AlSiH
1.0
6.561 0.000 0.000
0.000 4.328 0.000
0.000 0.000 6.863
Al Si H
4 4 4
Direct
0.135 0.250 0.030
0.365 0.750 0.530
0.635 0.250 0.470
0.865 0.750 0.970
0.250 0.250 0.373
0.250 0.750 0.873
0.750 0.250 0.127
0.750 0.750 0.627
0.084 0.250 0.527
0.416 0.750 0.027
0.584 0.250 0.973
0.916 0.750 0.473
```

Results
space-group type = Pnma (62)
calculated density = 1.91 g/cm3
raw total energy = -4.007 eV/atom